No. 1
Here is a relaxed structure of SrBeSi2 from Alexandria. Energies are from PBE.

a b c (Å): 6.0951 6.0951 6.0951
angles (deg): 37.89 37.89 37.89
With the nearest neighbours (Å) after each atom.
Positions (direct):
Sr: 0.7500 0.7500 0.7500  8 Si 3.15-3.48
Si: 0.9555 0.9555 0.9555  3 Be 2.38, 3 Si 2.64
Si: 0.5445 0.5445 0.5445  3 Be 2.38, 3 Si 2.64
Be: 0.2500 0.2500 0.2500  6 Si 2.38

raw total energy: -4.1833 eV/atom
N(E_F): 0.7 states/eV/cell
SG: No. 166

=====

No. 2
Here is a relaxed structure of Sr2BeSi from Alexandria. Energies are from PBE.

a b c (Å): 4.8814 4.8814 7.4715
angles (deg): 78.02 78.02 47.25
With the nearest neighbours (Å) after each atom.
Positions (direct):
Sr: 0.0040 0.0040 0.9872  3 Si 3.17-3.18, 3 Be 3.26-3.29
Sr: 0.4960 0.4960 0.5128  3 Si 3.17-3.18, 3 Be 3.26-3.29
Si: 0.7500 0.7500 0.7500  6 Sr 3.17-3.18
Be: 0.2500 0.2500 0.2500  6 Sr 3.26-3.29

ΔE to the lowest computed polymorph: 540 meV/atom
N(E_F): 3.1 states/eV/cell
SG: No. 12

=====

No. 3
Here is a relaxed structure of SrBeSi2 from Alexandria. Energies are from PBE.

a b c (Å): 3.6538 3.7826 5.9222
angles (deg): 90.00 90.00 90.00
With the nearest neighbours (Å) after each atom.
Positions (direct):
Sr: 0.0000 0.3750 0.4625  6 Si 3.14-3.23, 4 Be 3.47-3.49
Si: 0.0000 0.8750 0.9042  2 Si 2.42, 4 Be 2.65
Si: 0.5000 0.8750 0.1731  2 Be 2.27, 2 Si 2.42
Be: 0.5000 0.3750 0.9602  2 Si 2.27

raw total energy: -4.0774 eV/atom
N(E_F): 1.4 states/eV/cell
SG: No. 25

=====

No. 4
Here is a relaxed structure of SrBeSi from Alexandria. Energies are from PBE.

a b c (Å): 4.0167 4.0167 4.6273
angles (deg): 90.00 90.00 120.00
With the nearest neighbours (Å) after each atom.
Positions (direct):
Sr: 0.3333 0.6667 0.6667  6 Be 3.28, 6 Si 3.28
Si: 0.6667 0.3333 0.1667  3 Be 2.32
Be: 0.0000 0.0000 0.1668  3 Si 2.32

raw total energy: -3.8719 eV/atom
N(E_F): 1.3 states/eV/cell
SG: No. 187

=====

No. 5
Here is a relaxed structure of SrBeSi2 from Alexandria. Energies are from PBE.

a b c (Å): 3.1802 5.1914 5.8412
angles (deg): 55.24 90.00 90.00
With the nearest neighbours (Å) after each atom.
Positions (direct):
Sr: 0.5000 0.5000 0.5000  6 Si 2.92-3.03, 4 Be 3.04, 2 Sr 3.18
Si: 0.0000 0.0000 0.0000  2 Be 2.92, 4 Sr 3.03, 6 Si 3.04-3.18
Si: 0.5000 0.5000 0.0000  2 Sr 2.92, 4 Be 3.03, 6 Si 3.04-3.18
Be: 0.0000 0.0000 0.5000  6 Si 2.92-3.03, 4 Sr 3.04, 2 Be 3.18

raw total energy: -3.4445 eV/atom
N(E_F): 1.1 states/eV/cell
SG: No. 10

=====

No. 6
Here is a relaxed structure of SrBe3Si from Alexandria. Energies are from PBE.

a b c (Å): 4.4002 4.4002 4.4002
angles (deg): 90.00 90.00 90.00
With the nearest neighbours (Å) after each atom.
Positions (direct):
Sr: 0.5000 0.5000 0.5000  12 Be 3.11
Si: 0.0000 0.0000 0.0000  6 Be 2.20
Be: 0.0000 0.5000 0.0000  2 Si 2.20
Be: 0.0000 0.0000 0.5000  2 Si 2.20
Be: 0.5000 0.0000 0.0000  2 Si 2.20

ΔE to the lowest computed polymorph: 0 meV/atom
N(E_F): 4.6 states/eV/cell
SG: No. 221

=====

No. 7
Here is a relaxed structure of SrBe2Si from Alexandria. Energies are from PBE.

a b c (Å): 4.5828 4.5828 8.1792
angles (deg): 73.73 73.73 90.00
With the nearest neighbours (Å) after each atom.
Positions (direct):
Sr: 0.0000 0.0000 0.0000  8 Be 3.18, 4 Si 3.24
Sr: 0.7500 0.2500 0.5000  8 Be 3.18, 4 Si 3.24
Si: 0.5000 0.5000 0.0000  4 Be 2.20
Si: 0.2500 0.7500 0.5000  4 Be 2.20
Be: 0.3752 0.1250 0.2500  2 Si 2.20, 2 Be 2.29
Be: 0.3748 0.6250 0.2500  2 Si 2.20, 2 Be 2.29
Be: 0.3750 0.6248 0.7500  2 Si 2.20, 2 Be 2.29
Be: 0.8750 0.6252 0.7500  2 Si 2.20, 2 Be 2.29

raw total energy: -3.5679 eV/atom
N(E_F): 1.4 states/eV/cell
SG: No. 141

=====

No. 8
Here is a relaxed structure of SrBe3Si from Alexandria. Energies are from PBE.

a b c (Å): 5.1909 5.1909 5.1909
angles (deg): 90.00 90.00 90.00
With the nearest neighbours (Å) after each atom.
Positions (direct):
Sr: 0.0000 0.0000 0.0000  6 Be 2.60
Si: 0.5000 0.5000 0.5000  12 Be 3.67
Be: 0.0000 0.5000 0.0000  2 Sr 2.60
Be: 0.0000 0.0000 0.5000  2 Sr 2.60
Be: 0.5000 0.0000 0.0000  2 Sr 2.60

ΔE to the lowest computed polymorph: 1825 meV/atom
N(E_F): 5.6 states/eV/cell
SG: No. 221

=====

No. 9
Here is a relaxed structure of SrBeSi3 from Alexandria. Energies are from PBE.

a b c (Å): 5.5812 5.5812 5.5812
angles (deg): 90.00 90.00 90.00
With the nearest neighbours (Å) after each atom.
Positions (direct):
Sr: 0.0000 0.0000 0.0000  6 Si 2.79
Si: 0.0000 0.5000 0.0000  2 Sr 2.79
Si: 0.0000 0.0000 0.5000  2 Sr 2.79
Si: 0.5000 0.0000 0.0000  2 Sr 2.79
Be: 0.5000 0.5000 0.5000  12 Si 3.95

ΔE to the lowest computed polymorph: 1876 meV/atom
N(E_F): 9.2 states/eV/cell
SG: No. 221

=====

No. 10
Here is a relaxed structure of SrBeSi2 from Alexandria. Energies are from PBE.

a b c (Å): 4.7500 4.7500 4.7500
angles (deg): 60.00 60.00 60.00
With the nearest neighbours (Å) after each atom.
Positions (direct):
Sr: 0.7500 0.7500 0.7500  4 Be 2.91, 4 Si 2.91
Si: 0.0000 0.0000 0.0000  4 Si 2.91, 4 Sr 2.91
Si: 0.2500 0.2500 0.2500  4 Be 2.91, 4 Si 2.91
Be: 0.5000 0.5000 0.5000  4 Sr 2.91, 4 Si 2.91

raw total energy: -3.5312 eV/atom
N(E_F): 2.1 states/eV/cell
SG: No. 216

=====

No. 11
Here is a relaxed structure of Sr2BeSi from Alexandria. Energies are from PBE.

a b c (Å): 4.0757 4.5814 6.5864
angles (deg): 69.63 90.00 90.00
With the nearest neighbours (Å) after each atom.
Positions (direct):
Sr: 0.0000 0.9893 0.8959  2 Be 3.14, 4 Si 3.26
Sr: 0.5000 0.2673 0.3407  2 Si 3.25, 4 Be 3.32
Si: 0.5000 0.5799 0.7151  2 Be 2.28
Be: 0.0000 0.6635 0.5484  2 Si 2.28

ΔE to the lowest computed polymorph: 0 meV/atom
N(E_F): 2.5 states/eV/cell
SG: No. 38

=====

No. 12
Here is a relaxed structure of SrBeSi2 from Alexandria. Energies are from PBE.

a b c (Å): 3.3547 3.3547 6.6149
angles (deg): 90.00 90.00 90.00
With the nearest neighbours (Å) after each atom.
Positions (direct):
Sr: 0.0000 0.0000 0.5032  6 Si 3.21-3.40, 4 Be 3.25, 4 Sr 3.35
Si: 0.0000 0.0000 0.9888  4 Be 2.57, 4 Si 2.66
Si: 0.5000 0.5000 0.1699  1 Be 2.19
Be: 0.5000 0.5000 0.8381  1 Si 2.19

raw total energy: -3.8936 eV/atom
N(E_F): 1.6 states/eV/cell
SG: No. 99

=====

N(E_F) of number 12 (SrBeSi2)?
1.6 states/eV/cell

=====

The lowest N(E_F) belongs to which entry?
number 1

=====

Which value of N(E_F) does entry 8 give?
5.6 states/eV/cell

=====

N(E_F) of number 11 (Sr2BeSi)?
2.5 states/eV/cell